[1]
A plane-wave DFT calculation with PBE was carried out for crystalline SrOs2Cl at its relaxed geometry.

CIF file:
```
data_SrOs2Cl
_chemical_formula_sum 'Sr1 Os2 Cl1'
_cell_length_a 3.004
_cell_length_b 3.760
_cell_length_c 8.208
_cell_angle_alpha 90.00
_cell_angle_beta 100.54
_cell_angle_gamma 90.00
_space_group_name_H-M_alt 'P 1 m 1'
_space_group_IT_number 6
_space_group_name_Hall 'P -2y'
loop_
_atom_site_label
_atom_site_type_symbol
_atom_site_fract_x
_atom_site_fract_y
_atom_site_fract_z
Sr1 Sr 0.000 0.000 0.000
Os1 Os 0.348 0.500 0.702
Os2 Os 0.775 0.000 0.598
Cl1 Cl 0.601 0.500 0.202
```

Results
- Formation energy (no corrections): 0.041 eV/atom
- Magnetization: 0.00 μB/f.u.
- Crystal system: monoclinic
- ΔE to the lowest computed polymorph: 0.44 eV/f.u.
- Fermi-level density of states: 2.632 states/eV per cell

***

[2]
A plane-wave DFT calculation with PBE was carried out for crystalline MgMn2Ni at its relaxed geometry.

CIF file:
```
data_MgMn2Ni
_chemical_formula_sum 'Mg2 Mn4 Ni2'
_cell_length_a 9.767
_cell_length_b 2.968
_cell_length_c 4.393
_cell_angle_alpha 90.00
_cell_angle_beta 116.47
_cell_angle_gamma 90.00
_space_group_name_H-M_alt 'C 1 2/m 1'
_space_group_IT_number 12
_space_group_name_Hall '-C 2y'
loop_
_atom_site_label
_atom_site_type_symbol
_atom_site_fract_x
_atom_site_fract_y
_atom_site_fract_z
Mg1 Mg 0.000 0.000 0.000
Mn1 Mn 0.225 0.000 0.725
Ni1 Ni 0.000 0.500 0.500
```

Results
- Magnetization: 7.19 μB/f.u.
- Energy relative to the elements: 171 meV/atom
- Crystal system: monoclinic
- Fermi-level density of states: 5.842 states/eV per cell

***

[3]
A plane-wave DFT calculation with PBE was carried out for crystalline Zr3NbN at its relaxed geometry.

CIF file:
```
data_Zr3NbN
_chemical_formula_sum 'Zr3 Nb1 N1'
_cell_length_a 4.515
_cell_length_b 4.515
_cell_length_c 4.515
_cell_angle_alpha 90.00
_cell_angle_beta 90.00
_cell_angle_gamma 90.00
_space_group_name_H-M_alt 'P m -3 m'
_space_group_IT_number 221
_space_group_name_Hall '-P 4 2 3'
loop_
_atom_site_label
_atom_site_type_symbol
_atom_site_fract_x
_atom_site_fract_y
_atom_site_fract_z
Zr1 Zr 0.000 0.000 0.500
Nb1 Nb 0.500 0.500 0.500
N1 N 0.000 0.000 0.000
```

Results
- Formation energy (no corrections): -0.654 eV/atom
- Magnetization: 0.00 μB/f.u.
- Crystal system: cubic
- ΔE to the lowest computed polymorph: 0.00 eV/f.u.
- Fermi-level density of states: 2.463 states/eV per cell

***

[4]
A plane-wave DFT calculation with PBE was carried out for crystalline Ce2ErPa at its relaxed geometry.

CIF file:
```
data_Ce2ErPa
_chemical_formula_sum 'Ce6 Er3 Pa3'
_cell_length_a 3.3166
_cell_length_b 3.3166
_cell_length_c 34.3396
_cell_angle_alpha 90.00
_cell_angle_beta 90.00
_cell_angle_gamma 120.00
_space_group_name_H-M_alt 'R 3 m'
_space_group_IT_number 160
_space_group_name_Hall 'R 3 -2"'
loop_
_atom_site_label
_atom_site_type_symbol
_atom_site_fract_x
_atom_site_fract_y
_atom_site_fract_z
Ce1 Ce 0.0000 0.0000 0.0000
Ce2 Ce 0.0000 0.0000 0.1618
Er1 Er 0.0000 0.0000 0.5818
Pa1 Pa 0.0000 0.0000 0.4140
```

Results
- Magnetization: 0.00 μB/f.u.
- Energy relative to the elements: 106 meV/atom
- Crystal system: trigonal
- ΔE to the lowest computed polymorph: 0.11 eV/f.u.
- Fermi-level density of states: 30.627 states/eV per cell

***

[5]
A plane-wave DFT calculation with PBE was carried out for crystalline Zr2AlMoH at its relaxed geometry.

CIF file:
```
data_Zr2AlMoH
_chemical_formula_sum 'Zr2 Al1 Mo1 H1'
_cell_length_a 4.618
_cell_length_b 4.618
_cell_length_c 3.695
_cell_angle_alpha 90.00
_cell_angle_beta 90.00
_cell_angle_gamma 90.00
_space_group_name_H-M_alt 'P 4/m m m'
_space_group_IT_number 123
_space_group_name_Hall '-P 4 2'
loop_
_atom_site_label
_atom_site_type_symbol
_atom_site_fract_x
_atom_site_fract_y
_atom_site_fract_z
Zr1 Zr 0.000 0.500 0.000
Al1 Al 0.000 0.000 0.500
Mo1 Mo 0.500 0.500 0.500
H1 H 0.500 0.500 0.000
```

Results
- Magnetization: 0.00 μB/f.u.
- Crystal system: tetragonal
- Fermi-level density of states: 1.629 states/eV per cell
- Electronic total energy: -7.319 eV/atom

***

[6]
A plane-wave DFT calculation with PBE was carried out for crystalline Nd4HoTh at its relaxed geometry.

CIF file:
```
data_Nd4HoTh
_chemical_formula_sum 'Nd4 Ho1 Th1'
_cell_length_a 5.7443
_cell_length_b 5.7443
_cell_length_c 7.0737
_cell_angle_alpha 90.00
_cell_angle_beta 90.00
_cell_angle_gamma 120.00
_space_group_name_H-M_alt 'P 6/m m m'
_space_group_IT_number 191
_space_group_name_Hall '-P 6 2'
loop_
_atom_site_label
_atom_site_type_symbol
_atom_site_fract_x
_atom_site_fract_y
_atom_site_fract_z
Nd1 Nd 0.3333 0.6667 0.2459
Ho1 Ho 0.0000 0.0000 0.0000
Th1 Th 0.0000 0.0000 0.5000
```

Results
- Magnetization: 0.00 μB/f.u.
- Energy relative to the elements: 66 meV/atom
- Crystal system: hexagonal
- ΔE to the lowest computed polymorph: 0.16 eV/f.u.
- Fermi-level density of states: 8.021 states/eV per cell

***

[7]
A plane-wave DFT calculation with PBE was carried out for crystalline Al2RuCl at its relaxed geometry.

CIF file:
```
data_Al2RuCl
_chemical_formula_sum 'Al4 Ru2 Cl2'
_cell_length_a 3.156
_cell_length_b 4.821
_cell_length_c 8.331
_cell_angle_alpha 90.00
_cell_angle_beta 90.00
_cell_angle_gamma 90.00
_space_group_name_H-M_alt 'I m m m'
_space_group_IT_number 71
_space_group_name_Hall '-I 2 2'
loop_
_atom_site_label
_atom_site_type_symbol
_atom_site_fract_x
_atom_site_fract_y
_atom_site_fract_z
Al1 Al 0.000 0.000 0.244
Ru1 Ru 0.000 0.500 0.500
Cl1 Cl 0.000 0.500 0.000
```

Results
- Formation energy (no corrections): 0.143 eV/atom
- Magnetization: 0.00 μB/f.u.
- Crystal system: orthorhombic
- ΔE to the lowest computed polymorph: 3.06 eV/f.u.
- Fermi-level density of states: 5.162 states/eV per cell

***

[8]
A plane-wave DFT calculation with PBE was carried out for crystalline Mg2CoSe at its relaxed geometry.

CIF file:
```
data_Mg2CoSe
_chemical_formula_sum 'Mg6 Co3 Se3'
_cell_length_a 3.6534
_cell_length_b 3.6534
_cell_length_c 20.4283
_cell_angle_alpha 90.00
_cell_angle_beta 90.00
_cell_angle_gamma 120.00
_space_group_name_H-M_alt 'R -3 m'
_space_group_IT_number 166
_space_group_name_Hall '-R 3 2"'
loop_
_atom_site_label
_atom_site_type_symbol
_atom_site_fract_x
_atom_site_fract_y
_atom_site_fract_z
Mg1 Mg 0.0000 0.0000 0.2481
Co1 Co 0.0000 0.0000 0.0000
Se1 Se 0.0000 0.0000 0.5000
```

Results
- Formation energy (no corrections): -0.035 eV/atom
- Magnetization: 1.26 μB/f.u.
- Crystal system: trigonal
- ΔE to the lowest computed polymorph: 1.05 eV/f.u.
- Fermi-level density of states: 9.311 states/eV per cell

***

[9]
A plane-wave DFT calculation with PBE was carried out for crystalline HgI3O at its relaxed geometry.

CIF file:
```
data_HgI3O
_chemical_formula_sum 'Hg1 I3 O1'
_cell_length_a 5.852
_cell_length_b 5.852
_cell_length_c 5.852
_cell_angle_alpha 90.00
_cell_angle_beta 90.00
_cell_angle_gamma 90.00
_space_group_name_H-M_alt 'P m -3 m'
_space_group_IT_number 221
_space_group_name_Hall '-P 4 2 3'
loop_
_atom_site_label
_atom_site_type_symbol
_atom_site_fract_x
_atom_site_fract_y
_atom_site_fract_z
Hg1 Hg 0.000 0.000 0.000
I1 I 0.000 0.000 0.500
O1 O 0.500 0.500 0.500
```

Results
- Formation energy (no corrections): 0.920 eV/atom
- Magnetization: 0.00 μB/f.u.
- Crystal system: cubic
- ΔE to the lowest computed polymorph: 2.74 eV/f.u.
- Fermi-level density of states: 30.343 states/eV per cell

***

[10]
A plane-wave DFT calculation with PBE was carried out for crystalline MgTi2PdRh at its relaxed geometry.

CIF file:
```
data_MgTi2PdRh
_chemical_formula_sum 'Mg1 Ti2 Pd1 Rh1'
_cell_length_a 4.623
_cell_length_b 4.623
_cell_length_c 4.848
_cell_angle_alpha 90.00
_cell_angle_beta 90.00
_cell_angle_gamma 90.00
_space_group_name_H-M_alt 'P 4/m m m'
_space_group_IT_number 123
_space_group_name_Hall '-P 4 2'
loop_
_atom_site_label
_atom_site_type_symbol
_atom_site_fract_x
_atom_site_fract_y
_atom_site_fract_z
Mg1 Mg 0.000 0.000 0.000
Ti1 Ti 0.000 0.500 0.500
Pd1 Pd 0.500 0.500 0.000
Rh1 Rh 0.000 0.000 0.500
```

Results
- Magnetization: 0.00 μB/f.u.
- Energy relative to the elements: 227 meV/atom
- Crystal system: tetragonal
- Fermi-level density of states: 5.224 states/eV per cell

***

[11]
A plane-wave DFT calculation with PBE was carried out for crystalline Nd2MgZn3Cu12 at its relaxed geometry.

CIF file:
```
data_Nd2MgZn3Cu12
_chemical_formula_sum 'Nd6 Mg3 Zn9 Cu36'
_cell_length_a 8.4028
_cell_length_b 8.4028
_cell_length_c 16.0771
_cell_angle_alpha 90.00
_cell_angle_beta 90.00
_cell_angle_gamma 120.00
_space_group_name_H-M_alt 'R -3 m'
_space_group_IT_number 166
_space_group_name_Hall '-R 3 2"'
loop_
_atom_site_label
_atom_site_type_symbol
_atom_site_fract_x
_atom_site_fract_y
_atom_site_fract_z
Nd1 Nd 0.0000 0.0000 0.0984
Mg1 Mg 0.0000 0.0000 0.5000
Zn1 Zn 0.0000 0.5000 0.0000
Cu1 Cu 0.0008 0.5004 0.8469
Cu2 Cu 0.0791 0.5395 0.4192
```

Results
- Magnetization: 0.00 μB/f.u.
- Energy relative to the elements: 278 meV/atom
- Crystal system: trigonal
- Fermi-level density of states: 19.220 states/eV per cell

***

[12]
A plane-wave DFT calculation with PBE was carried out for crystalline SrYSb2 at its relaxed geometry.

CIF file:
```
data_SrYSb2
_chemical_formula_sum 'Sr4 Y4 Sb8'
_cell_length_a 7.818
_cell_length_b 7.818
_cell_length_c 7.818
_cell_angle_alpha 90.00
_cell_angle_beta 90.00
_cell_angle_gamma 90.00
_space_group_name_H-M_alt 'F -4 3 m'
_space_group_IT_number 216
_space_group_name_Hall 'F -4 2 3'
loop_
_atom_site_label
_atom_site_type_symbol
_atom_site_fract_x
_atom_site_fract_y
_atom_site_fract_z
Sr1 Sr 0.000 0.000 0.000
Y1 Y 0.250 0.250 0.750
Sb1 Sb 0.000 0.000 0.500
Sb2 Sb 0.250 0.250 0.250
```

Results
- Formation energy (no corrections): -0.246 eV/atom
- Magnetization: 0.00 μB/f.u.
- Crystal system: cubic
- ΔE to the lowest computed polymorph: 2.86 eV/f.u.
- Fermi-level density of states: 16.459 states/eV per cell